# KLiAs2Se, relaxed, DFT PBE
data_KLiAs2Se
_chemical_formula_sum 'K1 Li1 As2 Se1'
_cell_length_a 5.600
_cell_length_b 5.600
_cell_length_c 5.719
_cell_angle_alpha 90.00
_cell_angle_beta 90.00
_cell_angle_gamma 90.00
_symmetry_space_group_name_H-M 'P 4/m m m'
_symmetry_Int_Tables_number 123
_symmetry_space_group_name_Hall '-P 4 2'
loop_
_atom_site_label
_atom_site_type_symbol
_atom_site_fract_x
_atom_site_fract_y
_atom_site_fract_z
K1 K 0.000 0.000 0.000
Li1 Li 0.500 0.500 0.500
As1 As 0.000 0.500 0.000
Se1 Se 0.000 0.000 0.500
# Raw formation energy in eV/atom: 0.976
# Calculated volume in A^3/atom: 35.86
# VASP energy in eV/cell: -10.91